Compound: Cs2CrCu2I6
Source: Alexandria via LeMat-Bulk
Functional: PBE
Structure: optimized geometry

Raw total energy ... -3.2860 eV per atom
Formation energy without anion corrections ... -0.666 eV per atom
Space-group type ... C2/m

```
11
Lattice="8.020 0.000 0.000 -4.010 7.502 0.392 0.000 -4.007 7.381" Properties=species:S:1:pos:R:3 pbc="T T T"
I 2.103 -2.592 5.604
I 4.010 1.027 5.293
I 5.917 -2.592 5.604
Cu 0.000 -0.016 2.178
Cr 4.010 -2.003 3.691
I 1.907 6.087 2.169
I 0.000 2.468 2.480
I -1.907 6.087 2.169
Cu 4.010 3.512 5.595
Cs 0.000 1.054 6.129
Cs 4.010 2.442 1.645
```